Entry 1:
A relaxed structure of RbSeF3. Source: the Alexandria database, functional PBE.

Computed properties:
VASP energy = -3.64 eV/atom
uncorrected formation energy = -1.6247 eV per atom
excess energy over the best structure of this formula in the dataset = 153 kJ/mol of formula units

Cell and atoms, written as POSCAR:
```
RbSeF3
1.0
4.5299 0.0000 0.0000
0.0000 4.5299 0.0000
0.0000 0.0000 4.5299
F Se Rb
3 1 1
Direct
0.0000 0.5000 0.0000
0.0000 0.0000 0.5000
0.5000 0.0000 0.0000
0.0000 0.0000 0.0000
0.5000 0.5000 0.5000
```

=====

Entry 2:
A relaxed structure of RbSe2F8. Source: the Alexandria database, functional PBE.

Computed properties:
VASP energy = -3.86 eV/atom
uncorrected formation energy = -1.7755 eV per atom

Cell and atoms, written as POSCAR:
```
RbSe2F8
1.0
-2.9657 -1.0091 -3.5698
5.3628 1.5089 -3.5235
-1.3794 -7.3409 4.0124
F Se Rb
8 2 1
Direct
0.7673 0.7285 0.5844
0.2327 0.2715 0.4155
0.3646 0.7172 0.3533
0.6354 0.2828 0.6467
0.2608 0.2564 0.8478
0.3147 0.5977 0.7903
0.7392 0.7436 0.1522
0.6852 0.4023 0.2097
0.7643 0.7479 0.3745
0.2358 0.2521 0.6255
0.0000 0.0000 0.0000
```

=====

Entry 3:
A relaxed structure of Rb4SeF2. Source: the Alexandria database, functional PBE.

Computed properties:
VASP energy = -3.20 eV/atom
uncorrected formation energy = -1.6184 eV per atom
excess energy over the best structure of this formula in the dataset = 201 kJ/mol of formula units

Cell and atoms, written as POSCAR:
```
Rb4SeF2
1.0
6.4350 0.0000 0.0000
0.0000 6.4350 0.0000
3.2175 3.2175 7.9434
Rb F Se
4 2 1
Direct
0.0000 0.5000 0.0000
0.5000 0.0000 0.0000
0.7950 0.7950 0.4100
0.2050 0.2050 0.5900
0.3627 0.3627 0.2745
0.6373 0.6373 0.7255
0.0000 0.0000 0.0000
```